# La2SbOs

Crystalline La2SbOs at its relaxed geometry (PBE, Alexandria).

a b c (Å): 3.780 4.928 6.619
angles (deg): 90.00 90.00 90.00
Positions (direct):
1 Sb 0.500 0.500 0.836
2 Os 0.000 0.000 0.351
3 La 0.500 0.500 0.348
4 La 0.000 0.000 0.964

Computed properties:
raw formation energy = -0.1545 eV/atom
space-group type = Pmm2, No. 25